No. 1
Material: BaNiPdCl6
Method: DFT, PBE
State: relaxed

The calculation puts the spin magnetization at 4.00 μB/cell. For the total energy, the calculation gives -3.7554 eV per atom. The calculation puts the energy relative to the elements, uncorrected at -25.166 kcal/mol of atoms.

The structure belongs to space group P312 (No. 149); the cell edges are 6.5002, 6.5002 and 6.6683 Å and the angles 90.00°, 90.00° and 120.00°. The inequivalent atoms are Ba at (0.0000, 0.0000, 0.0000), Ni at (0.6667, 0.3333, 0.5000), Pd at (0.3333, 0.6667, 0.5000) and Cl at (0.3799, 0.0149, 0.7086).

---

No. 2
Material: BaNiS2Cl
Method: DFT, PBE
State: relaxed

Its density of states at the Fermi level is 5.23 states/eV per cell. The calculation puts the spin magnetization at 0.00 μB/cell. For the total energy, the calculation gives -4.5865 eV per atom. The calculation puts the energy relative to the elements, uncorrected at -23.646 kcal/mol of atoms.

The structure belongs to space group P4/mmm (No. 123); the cell edges are 4.6362, 4.6362 and 4.9313 Å and the angles 90.00°, 90.00° and 90.00°. The inequivalent atoms are Ba at (0.0000, 0.0000, 0.0000), Ni at (0.5000, 0.5000, 0.5000), S at (0.0000, 0.5000, 0.5000) and Cl at (0.5000, 0.5000, 0.0000).

---

No. 3
Material: BaNiS2Cl
Method: DFT, PBE
State: relaxed

Its density of states at the Fermi level is 13.72 states/eV per cell. The calculation puts the spin magnetization at 3.02 μB/cell. For the total energy, the calculation gives -3.0907 eV per atom. The calculation puts the energy relative to the elements, uncorrected at 10.849 kcal/mol of atoms.

The structure belongs to space group P4/mmm (No. 123); the cell edges are 6.0080, 6.0080 and 5.8208 Å and the angles 90.00°, 90.00° and 90.00°. The inequivalent atoms are Ba at (0.0000, 0.0000, 0.0000), Ni at (0.5000, 0.5000, 0.5000), S at (0.0000, 0.5000, 0.0000) and Cl at (0.0000, 0.0000, 0.5000).

---

No. 4
Material: Ba2NiSCl
Method: DFT, PBE
State: relaxed

Its density of states at the Fermi level is 3.34 states/eV per cell. The calculation puts the spin magnetization at 0.00 μB/cell. For the total energy, the calculation gives -4.2578 eV per atom. The calculation puts the energy relative to the elements, uncorrected at -26.235 kcal/mol of atoms.

The structure belongs to space group P4/mmm (No. 123); the cell edges are 5.8873, 5.8873 and 4.2153 Å and the angles 90.00°, 90.00° and 90.00°. The inequivalent atoms are Ba at (0.0000, 0.5000, 0.0000), Ni at (0.0000, 0.0000, 0.0000), S at (0.0000, 0.0000, 0.5000) and Cl at (0.5000, 0.5000, 0.5000).

---

No. 5
Material: BaSrNi2Cl8
Method: DFT, PBE
State: relaxed

Its density of states at the Fermi level is 12.35 states/eV per cell. The calculation puts the spin magnetization at 4.00 μB/cell. For the total energy, the calculation gives -3.8849 eV per atom. The calculation puts the energy relative to the elements, uncorrected at -32.052 kcal/mol of atoms.

The structure belongs to space group P-3 (No. 147); the cell edges are 6.4970, 6.4970 and 9.5435 Å and the angles 90.00°, 90.00° and 120.00°. The inequivalent atoms are Ba at (0.0000, 0.0000, 0.0000), Sr at (0.0000, 0.0000, 0.5000), Ni at (0.3333, 0.6667, 0.7627), Cl at (0.0044, 0.3201, 0.7125) and Cl at (0.3333, 0.6667, 0.9943).

---

No. 6
Material: BaTlNiCl2
Method: DFT, PBE
State: relaxed

Its density of states at the Fermi level is 6.10 states/eV per cell. The calculation puts the spin magnetization at 1.00 μB/cell. For the total energy, the calculation gives -3.2807 eV per atom. The calculation puts the energy relative to the elements, uncorrected at -12.175 kcal/mol of atoms.

The structure belongs to space group P4/mmm (No. 123); the cell edges are 5.9277, 5.9277 and 6.2161 Å and the angles 90.00°, 90.00° and 90.00°. The inequivalent atoms are Ba at (0.0000, 0.0000, 0.0000), Tl at (0.5000, 0.5000, 0.5000), Ni at (0.0000, 0.0000, 0.5000) and Cl at (0.0000, 0.5000, 0.0000).